(1)
VASP calculation (PBE) on crystalline BaEuH at its relaxed geometry.

Unit cell a=4.051 b=4.051 c=6.677 alpha=90.00 beta=90.00 gamma=120.00
Fractional positions:
Ba  0.000  0.000  0.000
Eu  0.333  0.667  0.461
H  0.667  0.333  0.253

Values from the calculation:
Uncorrected energy = -16.0 eV for the cell shown
Size of the total moment = 7.92 μB per cell


(2)
VASP calculation (PBE) on crystalline BaEu2Hf at its relaxed geometry.

Unit cell a=3.608 b=3.608 c=38.405 alpha=90.00 beta=90.00 gamma=120.00
Fractional positions:
Ba  0.000  0.000  0.000
Ba  0.333  0.667  0.667
Ba  0.667  0.333  0.333
Eu  0.000  0.000  0.096
Eu  0.000  0.000  0.904
Eu  0.333  0.667  0.570
Eu  0.333  0.667  0.763
Eu  0.667  0.333  0.237
Eu  0.667  0.333  0.430
Hf  0.000  0.000  0.500
Hf  0.333  0.667  0.167
Hf  0.667  0.333  0.833

Values from the calculation:
Formation energy from the elements = 1.6 eV per formula unit
Uncorrected energy = -92.4 eV for the cell shown
Size of the total moment = 42.40 μB per cell


(3)
VASP calculation (PBE) on crystalline BaEuHfNbO6 at its relaxed geometry.

Unit cell a=5.861 b=5.861 c=5.861 alpha=60.00 beta=60.00 gamma=60.00
Fractional positions:
Ba  0.000  0.000  0.000
Eu  0.500  0.500  0.500
Hf  0.250  0.250  0.250
Nb  0.750  0.750  0.750
O  0.502  0.502  0.998
O  0.502  0.998  0.502
O  0.502  0.998  0.998
O  0.998  0.502  0.502
O  0.998  0.502  0.998
O  0.998  0.998  0.502

Values from the calculation:
ΔE_f (raw) = -3.000 eV per atom
Uncorrected energy = -92.0 eV for the cell shown
Size of the total moment = 6.75 μB per cell


(4)
VASP calculation (PBE) on crystalline BaEuHfSnO6 at its relaxed geometry.

Unit cell a=5.878 b=5.878 c=5.878 alpha=60.00 beta=60.00 gamma=60.00
Fractional positions:
Ba  0.000  0.000  0.000
Eu  0.500  0.500  0.500
Hf  0.250  0.250  0.250
Sn  0.750  0.750  0.750
O  0.000  0.000  0.500
O  0.000  0.500  0.000
O  0.000  0.500  0.500
O  0.500  0.000  0.000
O  0.500  0.000  0.500
O  0.500  0.500  0.000

Values from the calculation:
ΔE_f (raw) = -2.751 eV per atom
Uncorrected energy = -83.4 eV for the cell shown
Size of the total moment = 7.00 μB per cell


(5)
VASP calculation (PBE) on crystalline BaEuHg4 at its relaxed geometry.

Unit cell a=6.296 b=6.296 c=6.296 alpha=60.00 beta=60.00 gamma=60.00
Fractional positions:
Ba  0.000  0.000  0.000
Eu  0.750  0.750  0.750
Hg  0.375  0.375  0.375
Hg  0.375  0.375  0.874
Hg  0.375  0.874  0.375
Hg  0.874  0.375  0.375

Values from the calculation:
Formation energy from the elements = -2.1 eV per formula unit
Uncorrected energy = -15.5 eV for the cell shown
Size of the total moment = 7.73 μB per cell


(6)
VASP calculation (PBE) on crystalline BaEu2Hg at its relaxed geometry.

Unit cell a=4.164 b=4.164 c=34.686 alpha=90.00 beta=90.00 gamma=120.00
Fractional positions:
Ba  0.000  0.000  0.000
Ba  0.333  0.667  0.667
Ba  0.667  0.333  0.333
Eu  0.000  0.000  0.231
Eu  0.000  0.000  0.769
Eu  0.333  0.667  0.435
Eu  0.333  0.667  0.898
Eu  0.667  0.333  0.102
Eu  0.667  0.333  0.565
Hg  0.000  0.000  0.500
Hg  0.333  0.667  0.167
Hg  0.667  0.333  0.833

Values from the calculation:
Formation energy from the elements = -0.6 eV per formula unit
Energy above the most stable polymorph in this dataset = 0.37 eV/f.u.
Uncorrected energy = -70.2 eV for the cell shown
Size of the total moment = 46.10 μB per cell


(7)
VASP calculation (PBE) on crystalline Ba2EuHg at its relaxed geometry.

Unit cell a=6.198 b=6.198 c=4.469 alpha=90.00 beta=90.00 gamma=90.00
Fractional positions:
Ba  0.000  0.500  0.000
Ba  0.500  0.000  0.000
Eu  0.000  0.000  0.500
Hg  0.500  0.500  0.500

Values from the calculation:
Formation energy from the elements = -0.5 eV per formula unit
Energy above the most stable polymorph in this dataset = 0.43 eV/f.u.
Uncorrected energy = -14.9 eV for the cell shown
Size of the total moment = 7.62 μB per cell


(8)
VASP calculation (PBE) on crystalline BaEu2Hg at its relaxed geometry.

Unit cell a=5.284 b=5.284 c=5.471 alpha=90.00 beta=90.00 gamma=90.00
Fractional positions:
Ba  0.000  0.000  0.000
Eu  0.000  0.500  0.500
Eu  0.500  0.000  0.500
Hg  0.500  0.500  0.000

Values from the calculation:
Formation energy from the elements = -0.5 eV per formula unit
Energy above the most stable polymorph in this dataset = 0.56 eV/f.u.
Uncorrected energy = -23.2 eV for the cell shown
Size of the total moment = 15.79 μB per cell